# La8Cd2In

A relaxed structure of La8Cd2In (GGA-PBE, Alexandria).

Cell lengths 9.012, 9.012, 8.990 Å; angles 119.01, 119.01, 36.22 degrees
Fractional coordinates of all 11 atoms:
1 La 0.071 0.071 0.224
2 La 0.138 0.138 0.691
3 La 0.318 0.318 0.547
4 La 0.408 0.408 0.053
5 La 0.592 0.592 0.947
6 La 0.682 0.682 0.453
7 La 0.862 0.862 0.309
8 La 0.929 0.929 0.776
9 Cd 0.228 0.228 0.116
10 Cd 0.772 0.772 0.884
11 In 0.500 0.500 0.500

As for the formation energy: -0.205 eV/atom. As for the crystal system: monoclinic. For the volume, the calculation gives 371.0 Å³/cell.